This record from Alexandria describes a relaxed NaPrSe2O8 crystal. The functional is PBE.

* DFT total energy: -5.900 eV/atom
* total magnetization: 0.0 Bohr magnetons per cell
* SG: P-1

Cell and atoms, written as CIF:
```
data_NaPrSe2O8
_chemical_formula_sum 'Na2 Pr2 Se4 O16'
_cell_length_a 6.704
_cell_length_b 7.250
_cell_length_c 7.495
_cell_angle_alpha 99.25
_cell_angle_beta 97.04
_cell_angle_gamma 89.90
_space_group_name_H-M_alt 'P 1'
_space_group_IT_number 1
loop_
_space_group_symop_operation_xyz
'x,y,z'
loop_
_atom_site_label
_atom_site_fract_x
_atom_site_fract_y
_atom_site_fract_z
_atom_site_occupancy
Na1 0.069 0.690 0.283 1
Na2 0.931 0.310 0.717 1
Pr1 0.642 0.807 0.802 1
Pr2 0.358 0.193 0.198 1
Se1 0.132 0.815 0.784 1
Se2 0.432 0.285 0.712 1
Se3 0.568 0.715 0.288 1
Se4 0.868 0.185 0.216 1
O1 0.430 0.906 0.316 1
O2 0.745 0.259 0.393 1
O3 0.964 0.984 0.761 1
O4 0.405 0.534 0.241 1
O5 0.677 0.110 0.050 1
O6 0.036 0.016 0.239 1
O7 0.011 0.351 0.158 1
O8 0.595 0.466 0.759 1
O9 0.323 0.890 0.950 1
O10 0.989 0.649 0.842 1
O11 0.570 0.094 0.684 1
O12 0.288 0.288 0.879 1
O13 0.279 0.294 0.519 1
O14 0.255 0.741 0.607 1
O15 0.712 0.712 0.121 1
O16 0.721 0.706 0.481 1
```

---

This record from Alexandria describes a relaxed PuCu2Sn2 crystal. The functional is PBE.

* ΔE_f: 30 meV per atom
* DFT total energy: -6.076 eV/atom
* total magnetization: 11.8 Bohr magnetons per cell
* SG: C2/c

Cell and atoms, written as CIF:
```
data_PuCu2Sn2
_chemical_formula_sum 'Pu2 Cu4 Sn4'
_cell_length_a 7.248
_cell_length_b 7.248
_cell_length_c 5.349
_cell_angle_alpha 111.26
_cell_angle_beta 111.26
_cell_angle_gamma 105.97
_space_group_name_H-M_alt 'P 1'
_space_group_IT_number 1
loop_
_space_group_symop_operation_xyz
'x,y,z'
loop_
_atom_site_label
_atom_site_fract_x
_atom_site_fract_y
_atom_site_fract_z
_atom_site_occupancy
Pu1 0.082 0.918 0.250 1
Pu2 0.918 0.082 0.750 1
Cu1 0.765 0.610 0.436 1
Cu2 0.390 0.235 0.064 1
Cu3 0.610 0.765 0.936 1
Cu4 0.235 0.390 0.564 1
Sn1 0.374 0.626 0.250 1
Sn2 0.782 0.218 0.250 1
Sn3 0.218 0.782 0.750 1
Sn4 0.626 0.374 0.750 1
```

---

This record from Alexandria describes a relaxed SrTlOs2 crystal. The functional is PBE.

* ΔE_f: 1439 meV per atom
* DFT total energy: -5.188 eV/atom
* total magnetization: 0.0 Bohr magnetons per cell
* SG: I-42d

Cell and atoms, written as CIF:
```
data_SrTlOs2
_chemical_formula_sum 'Sr2 Tl2 Os4'
_cell_length_a 8.146
_cell_length_b 8.146
_cell_length_c 6.389
_cell_angle_alpha 50.40
_cell_angle_beta 50.40
_cell_angle_gamma 90.00
_space_group_name_H-M_alt 'P 1'
_space_group_IT_number 1
loop_
_space_group_symop_operation_xyz
'x,y,z'
loop_
_atom_site_label
_atom_site_fract_x
_atom_site_fract_y
_atom_site_fract_z
_atom_site_occupancy
Sr1 0.500 0.500 0.000 1
Sr2 0.250 0.750 0.500 1
Tl1 0.000 0.000 0.000 1
Tl2 0.750 0.250 0.500 1
Os1 0.668 0.125 0.250 1
Os2 0.082 0.625 0.250 1
Os3 0.375 0.332 0.750 1
Os4 0.875 0.918 0.750 1
```

---

This record from Alexandria describes a relaxed Ac3ErIn3 crystal. The functional is PBE.

* ΔE_f: -261 meV per atom
* DFT total energy: -3.847 eV/atom
* total magnetization: 0.0 Bohr magnetons per cell
* SG: C2/m

Cell and atoms, written as CIF:
```
data_Ac3ErIn3
_chemical_formula_sum 'Ac6 Er2 In6'
_cell_length_a 7.213
_cell_length_b 7.213
_cell_length_c 10.042
_cell_angle_alpha 92.57
_cell_angle_beta 92.57
_cell_angle_gamma 105.71
_space_group_name_H-M_alt 'P 1'
_space_group_IT_number 1
loop_
_space_group_symop_operation_xyz
'x,y,z'
loop_
_atom_site_label
_atom_site_fract_x
_atom_site_fract_y
_atom_site_fract_z
_atom_site_occupancy
Ac1 0.606 0.606 0.318 1
Ac2 0.179 0.821 0.500 1
Ac3 0.821 0.179 0.500 1
Ac4 0.246 0.754 0.000 1
Ac5 0.754 0.246 0.000 1
Ac6 0.394 0.394 0.682 1
Er1 0.734 0.734 0.959 1
Er2 0.266 0.266 0.041 1
In1 0.987 0.987 0.222 1
In2 0.923 0.544 0.736 1
In3 0.544 0.923 0.736 1
In4 0.077 0.456 0.264 1
In5 0.456 0.077 0.264 1
In6 0.013 0.013 0.778 1
```

---

This record from Alexandria describes a relaxed KCd2Bi3 crystal. The functional is PBE.

* ΔE_f: -50 meV per atom
* DFT total energy: -2.479 eV/atom
* total magnetization: 0.0 Bohr magnetons per cell
* SG: Cmcm

Cell and atoms, written as CIF:
```
data_KCd2Bi3
_chemical_formula_sum 'K2 Cd4 Bi6'
_cell_length_a 6.257
_cell_length_b 8.348
_cell_length_c 8.348
_cell_angle_alpha 96.89
_cell_angle_beta 90.00
_cell_angle_gamma 90.00
_space_group_name_H-M_alt 'P 1'
_space_group_IT_number 1
loop_
_space_group_symop_operation_xyz
'x,y,z'
loop_
_atom_site_label
_atom_site_fract_x
_atom_site_fract_y
_atom_site_fract_z
_atom_site_occupancy
K1 0.250 0.312 0.312 1
K2 0.750 0.688 0.688 1
Cd1 0.500 0.770 0.230 1
Cd2 0.000 0.770 0.230 1
Cd3 0.000 0.230 0.770 1
Cd4 0.500 0.230 0.770 1
Bi1 0.750 0.473 0.065 1
Bi2 0.750 0.065 0.473 1
Bi3 0.250 0.527 0.935 1
Bi4 0.750 0.055 0.055 1
Bi5 0.250 0.945 0.945 1
Bi6 0.250 0.935 0.527 1
```

---

This record from Alexandria describes a relaxed La6AsIr2Br3 crystal. The functional is PBE.

* DFT total energy: -6.051 eV/atom
* total magnetization: 0.0 Bohr magnetons per cell
* SG: C2/m

Cell and atoms, written as CIF:
```
data_La6AsIr2Br3
_chemical_formula_sum 'La6 As1 Ir2 Br3'
_cell_length_a 7.431
_cell_length_b 7.431
_cell_length_c 8.126
_cell_angle_alpha 98.69
_cell_angle_beta 98.69
_cell_angle_gamma 120.01
_space_group_name_H-M_alt 'P 1'
_space_group_IT_number 1
loop_
_space_group_symop_operation_xyz
'x,y,z'
loop_
_atom_site_label
_atom_site_fract_x
_atom_site_fract_y
_atom_site_fract_z
_atom_site_occupancy
La1 0.932 0.583 0.798 1
La2 0.718 0.718 0.202 1
La3 0.068 0.417 0.202 1
La4 0.583 0.932 0.798 1
La5 0.282 0.282 0.798 1
La6 0.417 0.068 0.202 1
As1 0.000 0.000 0.000 1
Ir1 0.333 0.667 0.000 1
Ir2 0.667 0.333 0.000 1
Br1 0.162 0.838 0.500 1
Br2 0.838 0.162 0.500 1
Br3 0.500 0.500 0.500 1
```

---

This record from Alexandria describes a relaxed KOsPb2 crystal. The functional is PBE.

* ΔE_f: 1010 meV per atom
* DFT total energy: -3.926 eV/atom
* total magnetization: 1.3 Bohr magnetons per cell
* SG: P4/mmm

Cell and atoms, written as CIF:
```
data_KOsPb2
_chemical_formula_sum 'K1 Os1 Pb2'
_cell_length_a 4.193
_cell_length_b 4.904
_cell_length_c 4.904
_cell_angle_alpha 90.00
_cell_angle_beta 90.00
_cell_angle_gamma 90.00
_space_group_name_H-M_alt 'P 1'
_space_group_IT_number 1
loop_
_space_group_symop_operation_xyz
'x,y,z'
loop_
_atom_site_label
_atom_site_fract_x
_atom_site_fract_y
_atom_site_fract_z
_atom_site_occupancy
K1 0.500 0.500 0.000 1
Os1 0.500 0.000 0.500 1
Pb1 0.000 0.000 0.000 1
Pb2 0.000 0.500 0.500 1
```

---

This record from Alexandria describes a relaxed Pm3HoZn2 crystal. The functional is PBE.

* ΔE_f: -209 meV per atom
* DFT total energy: -3.772 eV/atom
* total magnetization: 0.0 Bohr magnetons per cell
* SG: Pmc2_1

Cell and atoms, written as CIF:
```
data_Pm3HoZn2
_chemical_formula_sum 'Pm6 Ho2 Zn4'
_cell_length_a 5.164
_cell_length_b 6.748
_cell_length_c 9.325
_cell_angle_alpha 90.00
_cell_angle_beta 90.00
_cell_angle_gamma 90.00
_space_group_name_H-M_alt 'P 1'
_space_group_IT_number 1
loop_
_space_group_symop_operation_xyz
'x,y,z'
loop_
_atom_site_label
_atom_site_fract_x
_atom_site_fract_y
_atom_site_fract_z
_atom_site_occupancy
Pm1 0.000 0.492 0.945 1
Pm2 0.000 0.992 0.055 1
Pm3 0.500 0.670 0.175 1
Pm4 0.500 0.170 0.825 1
Pm5 0.000 0.325 0.333 1
Pm6 0.000 0.825 0.667 1
Ho1 0.500 0.512 0.555 1
Ho2 0.500 0.012 0.445 1
Zn1 0.500 0.718 0.845 1
Zn2 0.500 0.218 0.155 1
Zn3 0.000 0.283 0.651 1
Zn4 0.000 0.783 0.349 1
```